(1)
This record from Alexandria via LeMat-Bulk describes TcRhAu2 at its PBEsol-relaxed geometry. The functional is meta-GGA SCAN.

Geometry as extended XYZ:
```
4
Lattice="2.7635 0.0000 0.0000 0.0000 4.8182 0.0023 -1.3818 -0.7634 4.5487" Properties=species:S:1:pos:R:3 pbc="T T T"
Tc 1.3818 0.0000 0.0000
Au 1.3818 3.2361 2.2998
Rh 0.0000 2.4091 0.0011
Au 0.0000 0.8187 2.2512
```

* total moment: 0.0 Bohr magnetons per cell
* symmetry: No. 12
* energy of formation from the pure elements: 0.275 eV/atom

(2)
This record from Alexandria via LeMat-Bulk describes Te2RhAu at its PBEsol-relaxed geometry. The functional is meta-GGA SCAN.

Geometry as extended XYZ:
```
4
Lattice="-2.8930 -0.7119 3.3603 0.9139 -4.7321 -0.2157 2.0977 0.2244 3.9645" Properties=species:S:1:pos:R:3 pbc="T T T"
Rh 0.2393 -2.4995 1.8965
Au -0.3773 -0.2313 3.4746
Te -0.0580 -2.6817 4.6350
Te -0.0855 -0.0524 0.7870
```

* ΔE_f (raw): -185 meV per atom
* total moment: 0.0 Bohr magnetons per cell
* symmetry: No. 38

(3)
This record from Alexandria via LeMat-Bulk describes TeRhAu2 at its PBEsol-relaxed geometry. The functional is meta-GGA SCAN.

Geometry as extended XYZ:
```
4
Lattice="-0.0052 -3.3251 0.5527 3.1381 0.1970 1.2147 -2.3078 0.9685 5.8047" Properties=species:S:1:pos:R:3 pbc="T T T"
Au 0.9818 -1.3187 2.3543
Rh -1.1809 0.4956 2.9703
Te -0.0641 -0.8797 4.9850
Au -0.0656 0.0275 0.1650
```

* ΔE_f (raw): 3 meV per atom
* total moment: 0.0 Bohr magnetons per cell
* symmetry: No. 99

(4)
This record from Alexandria via LeMat-Bulk describes Te2RhAu at its PBEsol-relaxed geometry. The functional is meta-GGA SCAN.

Geometry as extended XYZ:
```
4
Lattice="-1.7466 -2.3975 -0.5066 -0.3862 -2.0628 2.1566 -9.4387 4.0771 4.3090" Properties=species:S:1:pos:R:3 pbc="T T T"
Au -5.7857 -0.1916 2.9795
Te -7.4278 2.7951 3.4429
Te -4.1437 -3.1784 2.5161
Rh 0.0000 0.0000 0.0000
```

* ΔE_f (raw): 376 meV per atom
* total moment: 0.0 Bohr magnetons per cell
* symmetry: No. 166

(5)
This record from Alexandria via LeMat-Bulk describes Te2RhAu at its PBEsol-relaxed geometry. The functional is meta-GGA SCAN.

Geometry as extended XYZ:
```
4
Lattice="3.5169 0.0000 0.0000 0.0000 4.7519 0.0000 0.0000 0.0000 4.7519" Properties=species:S:1:pos:R:3 pbc="T T T"
Rh 1.7584 0.0000 0.0000
Te 0.0000 0.0000 2.3760
Te 0.0000 2.3760 0.0000
Au 1.7584 2.3760 2.3760
```

* ΔE_f (raw): 237 meV per atom
* total moment: 0.0 Bohr magnetons per cell
* symmetry: No. 123

(6)
This record from Alexandria via LeMat-Bulk describes Te2RhAu at its PBEsol-relaxed geometry. The functional is meta-GGA SCAN.

Geometry as extended XYZ:
```
4
Lattice="3.8858 0.0000 0.0000 0.0000 4.4660 -0.0674 0.0000 -0.3562 5.4385" Properties=species:S:1:pos:R:3 pbc="T T T"
Au 1.9429 2.0549 2.6855
Te 0.0000 0.6187 4.2300
Rh 1.9429 2.2330 -0.0337
Te 0.0000 3.4911 1.1411
```

* ΔE_f (raw): -70 meV per atom
* total moment: 0.0 Bohr magnetons per cell
* symmetry: No. 10

(7)
This record from Alexandria via LeMat-Bulk describes TeRhAu2 at its PBEsol-relaxed geometry. The functional is meta-GGA SCAN.

Geometry as extended XYZ:
```
4
Lattice="-2.0637 -2.7461 0.4689 1.0445 -0.0912 4.0633 -2.9851 4.4104 -0.1260" Properties=species:S:1:pos:R:3 pbc="T T T"
Rh 0.5223 -0.0456 2.0316
Au -1.8707 1.5971 1.1197
Au -2.1336 -0.0240 3.2865
Te -1.0319 -1.3730 0.2344
```

* ΔE_f (raw): 89 meV per atom
* total moment: 0.0 Bohr magnetons per cell
* symmetry: No. 12

(8)
This record from Alexandria via LeMat-Bulk describes TeRhAu2 at its PBEsol-relaxed geometry. The functional is meta-GGA SCAN.

Geometry as extended XYZ:
```
4
Lattice="3.9080 0.0000 0.0000 0.0000 3.9080 0.0000 0.0000 0.0000 4.6484" Properties=species:S:1:pos:R:3 pbc="T T T"
Te 0.0000 0.0000 2.3242
Au 0.0000 1.9540 0.0000
Rh 1.9540 1.9540 2.3242
Au 1.9540 0.0000 0.0000
```

* ΔE_f (raw): 153 meV per atom
* total moment: 0.0 Bohr magnetons per cell
* symmetry: No. 123

(9)
This record from Alexandria via LeMat-Bulk describes Te2RhAu at its PBEsol-relaxed geometry. The functional is meta-GGA SCAN.

Geometry as extended XYZ:
```
4
Lattice="-1.9986 -0.0038 -2.5375 1.5822 -3.7837 -1.2405 -4.0797 -1.0079 5.2705" Properties=species:S:1:pos:R:3 pbc="T T T"
Au -3.7300 -2.5241 2.9415
Te -0.4964 -0.3359 0.3915
Te -1.5961 -3.5073 1.2624
Rh -2.9614 -1.3297 0.2786
```

* ΔE_f (raw): 29 meV per atom
* total moment: 0.0 Bohr magnetons per cell
* symmetry: No. 44

(10)
This record from Alexandria via LeMat-Bulk describes TeRhAu2 at its PBEsol-relaxed geometry. The functional is meta-GGA SCAN.

Geometry as extended XYZ:
```
4
Lattice="-2.9005 2.0612 0.7637 -2.6227 -3.7673 0.2068 1.6983 0.8387 4.1865" Properties=species:S:1:pos:R:3 pbc="T T T"
Au 0.8491 0.4194 2.0932
Au -1.3113 -1.8837 0.1034
Rh -1.4503 1.0306 0.3818
Te -1.9125 -0.4337 2.5785
```

* ΔE_f (raw): 210 meV per atom
* total moment: 0.0 Bohr magnetons per cell
* symmetry: No. 65

(11)
This record from Alexandria via LeMat-Bulk describes Te2RhAu at its PBEsol-relaxed geometry. The functional is meta-GGA SCAN.

Geometry as extended XYZ:
```
4
Lattice="-1.7458 -2.3318 -2.6797 1.1933 -3.7483 -0.4389 -5.3275 -4.2867 4.2778" Properties=species:S:1:pos:R:3 pbc="T T T"
Te -2.2606 -6.8307 -1.3526
Rh -2.9399 -5.1834 0.5796
Au 0.0000 0.0000 0.0000
Te -3.6193 -3.5361 2.5119
```

* ΔE_f (raw): -330 meV per atom
* total moment: 0.0 Bohr magnetons per cell
* symmetry: No. 166

(12)
This record from Alexandria via LeMat-Bulk describes Te4RhAu at its PBEsol-relaxed geometry. The functional is meta-GGA SCAN.

Geometry as extended XYZ:
```
6
Lattice="-4.8491 3.4910 -0.5968 -3.6220 0.9361 4.6969 -0.1615 5.3911 2.6393" Properties=species:S:1:pos:R:3 pbc="T T T"
Te -5.0482 4.1499 4.8757
Te -3.3180 6.3774 3.8469
Te -5.6617 5.4273 2.2289
Au -6.4745 7.3637 5.0545
Te -3.2373 3.6819 2.5273
Rh 0.0000 0.0000 0.0000
```

* ΔE_f (raw): 968 meV per atom
* total moment: 1.7 Bohr magnetons per cell
* symmetry: No. 216

(13)
This record from Alexandria via LeMat-Bulk describes Ti2Rh2Au at its PBEsol-relaxed geometry. The functional is meta-GGA SCAN.

Geometry as extended XYZ:
```
10
Lattice="-0.3564 0.9399 2.7572 -6.9076 -2.0031 -0.2100 1.8147 -6.5152 2.4556" Properties=species:S:1:pos:R:3 pbc="T T T"
Rh -4.1463 -2.1598 0.2003
Au 0.0000 0.0000 0.0000
Au -2.5465 -4.2592 1.1228
Ti -5.3474 -3.4008 2.0300
Rh -4.8143 -5.8742 1.3802
Rh -0.9467 -6.3586 2.0452
Rh -0.2786 -2.6441 0.8654
Ti -2.2088 -1.2678 1.7086
Ti -3.2406 -6.3106 3.2942
Ti -0.1019 -4.1776 2.9728
```

* total moment: 0.0 Bohr magnetons per cell
* symmetry: No. 127
* energy of formation from the pure elements: -0.767 eV/atom

(14)
This record from Alexandria via LeMat-Bulk describes TlRhAu2 at its PBEsol-relaxed geometry. The functional is meta-GGA SCAN.

Geometry as extended XYZ:
```
4
Lattice="3.9851 0.0000 0.0000 0.0000 3.9851 0.0000 0.0000 0.0000 4.3134" Properties=species:S:1:pos:R:3 pbc="T T T"
Tl 0.0000 0.0000 2.1567
Rh 1.9925 1.9925 2.1567
Au 1.9925 0.0000 0.0000
Au 0.0000 1.9925 0.0000
```

* total moment: 0.0 Bohr magnetons per cell
* symmetry: No. 123
* energy of formation from the pure elements: 0.053 eV/atom

(15)
This record from Alexandria via LeMat-Bulk describes TlRhAu2 at its PBEsol-relaxed geometry. The functional is meta-GGA SCAN.

Geometry as extended XYZ:
```
4
Lattice="-0.2090 -0.3286 2.9010 1.4437 -2.1682 1.3351 8.0726 5.0169 2.6264" Properties=species:S:1:pos:R:3 pbc="T T T"
Au 2.5125 0.7717 1.7451
Tl 0.0000 0.0000 0.0000
Au 6.7949 1.7484 5.1175
Rh 4.6537 1.2601 3.4313
```

* total moment: 0.8 Bohr magnetons per cell
* symmetry: No. 166
* energy of formation from the pure elements: 0.306 eV/atom

(16)
This record from Alexandria via LeMat-Bulk describes Tl3RhAu at its PBEsol-relaxed geometry. The functional is meta-GGA SCAN.

Geometry as extended XYZ:
```
5
Lattice="5.1465 0.0000 0.0000 0.0000 5.1465 0.0000 0.0000 0.0000 5.1465" Properties=species:S:1:pos:R:3 pbc="T T T"
Tl 0.0000 2.5732 0.0000
Tl 0.0000 0.0000 2.5732
Rh 0.0000 0.0000 0.0000
Au 2.5732 2.5732 2.5732
Tl 2.5732 0.0000 0.0000
```

* total moment: 0.0 Bohr magnetons per cell
* symmetry: No. 221
* energy of formation from the pure elements: 0.098 eV/atom

(17)
This record from Alexandria via LeMat-Bulk describes TlRhAu at its PBEsol-relaxed geometry. The functional is meta-GGA SCAN.

Geometry as extended XYZ:
```
3
Lattice="3.0892 0.0000 0.0000 0.0000 3.8705 0.0000 -1.5446 -1.9353 4.3515" Properties=species:S:1:pos:R:3 pbc="T T T"
Au 0.0000 0.0000 0.0349
Tl 0.0000 0.0000 2.8547
Rh 1.5446 1.9353 1.4619
```

* total moment: 0.0 Bohr magnetons per cell
* symmetry: No. 44
* energy of formation from the pure elements: 0.233 eV/atom

(18)
This record from Alexandria via LeMat-Bulk describes RhWAu at its PBEsol-relaxed geometry. The functional is meta-GGA SCAN.

Geometry as extended XYZ:
```
3
Lattice="3.3041 0.0000 0.0000 0.0000 3.3041 0.0000 -1.6521 -1.6521 4.1995" Properties=species:S:1:pos:R:3 pbc="T T T"
W 0.0000 0.0000 2.7281
Au 0.0000 0.0000 0.0145
Rh 1.6521 1.6521 1.4569
```

* total moment: 0.0 Bohr magnetons per cell
* symmetry: No. 107
* energy of formation from the pure elements: 0.119 eV/atom

(19)
This record from Alexandria via LeMat-Bulk describes RhWAu at its PBEsol-relaxed geometry. The functional is meta-GGA SCAN.

Geometry as extended XYZ:
```
3
Lattice="2.7644 0.0000 0.0000 0.0000 4.3930 0.0000 0.0000 -2.1965 3.8044" Properties=species:S:1:pos:R:3 pbc="T T T"
Au 2.7373 0.0000 0.0000
W 1.2765 0.0000 2.5363
Rh 1.5149 2.1965 1.2681
```

* total moment: 0.0 Bohr magnetons per cell
* symmetry: No. 156
* energy of formation from the pure elements: 0.168 eV/atom

(20)
This record from Alexandria via LeMat-Bulk describes YRh2Au at its PBEsol-relaxed geometry. The functional is meta-GGA SCAN.

Geometry as extended XYZ:
```
4
Lattice="3.3865 0.0000 0.0000 0.0000 3.3865 0.0000 0.0000 0.0000 5.9563" Properties=species:S:1:pos:R:3 pbc="T T T"
Y 1.6932 1.6932 0.0000
Rh 0.0000 0.0000 4.3472
Rh 0.0000 0.0000 1.6091
Au 1.6932 1.6932 2.9782
```

* total moment: 0.0 Bohr magnetons per cell
* symmetry: No. 123
* energy of formation from the pure elements: -0.420 eV/atom

(21)
This record from Alexandria via LeMat-Bulk describes YRh2Au at its PBEsol-relaxed geometry. The functional is meta-GGA SCAN.

Geometry as extended XYZ:
```
4
Lattice="-2.5342 -2.4440 -1.6806 1.0922 -2.9565 2.6525 -2.9353 1.2526 2.6047" Properties=species:S:1:pos:R:3 pbc="T T T"
Au -1.2671 -1.2220 -0.8403
Rh -1.4677 0.6263 1.3024
Rh 0.5461 -1.4782 1.3263
Y -2.1887 -2.0740 1.7883
```

* total moment: 0.0 Bohr magnetons per cell
* symmetry: No. 123
* energy of formation from the pure elements: -0.660 eV/atom

(22)
This record from Alexandria via LeMat-Bulk describes YRhAu2 at its PBEsol-relaxed geometry. The functional is meta-GGA SCAN.

Geometry as extended XYZ:
```
4
Lattice="3.9734 0.0000 0.0000 0.0000 3.9734 0.0000 -1.9867 -1.9867 4.4521" Properties=species:S:1:pos:R:3 pbc="T T T"
Au 0.0000 1.9867 2.2260
Au 1.9867 0.0000 2.2260
Y 1.9867 1.9867 0.0000
Rh 0.0000 0.0000 0.0000
```

* total moment: 0.0 Bohr magnetons per cell
* symmetry: No. 139
* energy of formation from the pure elements: -0.765 eV/atom

(23)
This record from Alexandria via LeMat-Bulk describes YRhAu2 at its PBEsol-relaxed geometry. The functional is meta-GGA SCAN.

Geometry as extended XYZ:
```
4
Lattice="-1.0522 3.8602 1.1184 -4.0068 -0.9178 -0.6018 2.2207 -2.6889 3.6544" Properties=species:S:1:pos:R:3 pbc="T T T"
Au 0.0000 0.0000 0.0000
Rh -2.5295 1.4712 0.2583
Y -0.6805 1.3212 2.5155
Au -2.1578 -1.0677 1.6554
```

* total moment: 0.0 Bohr magnetons per cell
* symmetry: No. 119
* energy of formation from the pure elements: -0.747 eV/atom

(24)
This record from Alexandria via LeMat-Bulk describes Zn2RhAu at its PBEsol-relaxed geometry. The functional is meta-GGA SCAN.

Geometry as extended XYZ:
```
4
Lattice="-0.5360 -2.3968 2.4484 -2.4614 -1.9892 -2.4861 3.1226 -2.1220 -1.3936" Properties=species:S:1:pos:R:3 pbc="T T T"
Zn 1.5613 -1.0610 -0.6968
Au 0.0626 -3.2540 -0.7156
Zn -1.2307 -0.9946 -1.2430
Rh -0.2680 -1.1984 1.2242
```

* total moment: 0.0 Bohr magnetons per cell
* symmetry: No. 123
* energy of formation from the pure elements: -0.419 eV/atom

(25)
This record from Alexandria via LeMat-Bulk describes Zn2RhAu at its PBEsol-relaxed geometry. The functional is meta-GGA SCAN.

Geometry as extended XYZ:
```
4
Lattice="2.9761 0.0000 0.0000 0.0000 3.2952 0.0000 0.0000 0.0000 5.7553" Properties=species:S:1:pos:R:3 pbc="T T T"
Zn 0.0000 0.0000 4.2075
Rh 1.4881 1.6476 2.8776
Au 1.4881 1.6476 0.0000
Zn 0.0000 0.0000 1.5478
```

* total moment: 0.0 Bohr magnetons per cell
* symmetry: No. 47
* energy of formation from the pure elements: -0.387 eV/atom

(26)
This record from Alexandria via LeMat-Bulk describes Zn2RhAu at its PBEsol-relaxed geometry. The functional is meta-GGA SCAN.

Geometry as extended XYZ:
```
4
Lattice="2.8188 0.0000 -0.0889 0.0000 4.0772 0.0000 -1.2318 0.0000 4.9873" Properties=species:S:1:pos:R:3 pbc="T T T"
Zn 1.0589 0.0000 4.7700
Au 0.9565 0.0000 2.2545
Rh -0.3809 2.0386 3.9740
Zn 2.3330 2.0386 1.2474
```

* total moment: 0.0 Bohr magnetons per cell
* symmetry: No. 6
* energy of formation from the pure elements: -0.261 eV/atom

(27)
This record from Alexandria via LeMat-Bulk describes Zn2RhAu at its PBEsol-relaxed geometry. The functional is meta-GGA SCAN.

Geometry as extended XYZ:
```
4
Lattice="-3.9105 -1.0683 1.4163 -3.1692 -0.7425 -2.8007 -1.4720 -3.9938 -0.5673" Properties=species:S:1:pos:R:3 pbc="T T T"
Au 0.0000 0.0000 0.0000
Zn -6.4138 -4.3535 -1.4638
Zn -2.1379 -1.4512 -0.4879
Rh -4.2758 -2.9023 -0.9759
```

* total moment: 0.0 Bohr magnetons per cell
* symmetry: No. 225
* energy of formation from the pure elements: -0.349 eV/atom

(28)
This record from Alexandria via LeMat-Bulk describes Zn2RhAu at its PBEsol-relaxed geometry. The functional is meta-GGA SCAN.

Geometry as extended XYZ:
```
4
Lattice="2.8171 0.0000 0.0000 1.4086 2.4397 0.0000 1.4086 0.8132 8.4256" Properties=species:S:1:pos:R:3 pbc="T T T"
Zn 4.2257 2.4397 6.4347
Au 2.8171 1.6265 4.2128
Rh 0.0000 0.0000 0.0000
Zn 1.4086 0.8132 1.9909
```

* total moment: 0.0 Bohr magnetons per cell
* symmetry: No. 166
* energy of formation from the pure elements: -0.217 eV/atom

(29)
This record from Alexandria via LeMat-Bulk describes Zn2RhAu at its PBEsol-relaxed geometry. The functional is meta-GGA SCAN.

Geometry as extended XYZ:
```
4
Lattice="2.9338 0.0000 0.0000 0.0000 4.3841 -0.0249 -1.4669 -1.4892 4.4337" Properties=species:S:1:pos:R:3 pbc="T T T"
Zn 0.0000 2.3064 2.2267
Zn 0.0000 0.2573 0.0011
Rh 1.4669 0.0871 2.1396
Au 1.4669 2.4362 0.0289
```

* total moment: 0.0 Bohr magnetons per cell
* symmetry: No. 8
* energy of formation from the pure elements: -0.296 eV/atom

(30)
This record from Alexandria via LeMat-Bulk describes Zn2RhAu at its PBEsol-relaxed geometry. The functional is meta-GGA SCAN.

Geometry as extended XYZ:
```
4
Lattice="2.9387 0.0000 0.0000 -1.4693 4.2070 -0.0041 0.0000 -1.0527 4.6813" Properties=species:S:1:pos:R:3 pbc="T T T"
Rh 0.0000 -0.5263 2.3407
Zn 1.4693 1.2965 3.4336
Zn 0.0000 1.8579 1.2437
Au 1.4693 0.0000 0.0000
```

* total moment: 0.0 Bohr magnetons per cell
* symmetry: No. 12
* energy of formation from the pure elements: -0.248 eV/atom